1.
{
  "formula": "BWSe3",
  "functional": "PBEsol",
  "state": "relaxed",
  "lattice": [[4.8678, 0.0000, 0.0000], [0.0000, 4.8678, 0.0000], [0.0000, 0.0000, 4.8678]],
  "species": ["B", "Se", "Se", "Se", "W"],
  "frac_coords": [[0.5000, 0.5000, 0.5000], [0.5000, 0.0000, 0.0000], [0.0000, 0.0000, 0.5000], [0.0000, 0.5000, 0.0000], [0.0000, 0.0000, 0.0000]],
  "magnetic_moment_mub_per_fu": 0.00,
  "formation_energy_uncorrected_ev_per_atom": 1.15,
  "rho_g_cm3": 6.2
}

***

2.
{
  "formula": "CdSi2Tc",
  "functional": "PBEsol",
  "state": "relaxed",
  "lattice": [[2.8173, 0.0288, 0.0000], [-1.0372, 2.6196, 0.0000], [0.0000, 0.0000, 8.4776]],
  "species": ["Tc", "Si", "Si", "Cd"],
  "frac_coords": [[0.0000, 0.0000, 0.5335], [0.0000, 0.0000, 0.9706], [0.5000, 0.5000, 0.7380], [0.5000, 0.5000, 0.2579]],
  "magnetic_moment_mub_per_fu": 0.00,
  "formation_energy_uncorrected_ev_per_atom": 0.30,
  "rho_g_cm3": 7.0
}

***

3.
{
  "formula": "Ca2TeMoS",
  "functional": "PBEsol",
  "state": "relaxed",
  "lattice": [[5.2091, 0.0000, 0.0000], [0.0000, 5.7937, 0.0000], [0.0000, 0.0000, 5.7937]],
  "species": ["S", "Te", "Mo", "Ca", "Ca"],
  "frac_coords": [[0.5000, 0.0000, 0.0000], [0.0000, 0.0000, 0.0000], [0.5000, 0.5000, 0.5000], [0.0000, 0.5000, 0.0000], [0.0000, 0.0000, 0.5000]],
  "magnetic_moment_mub_per_fu": 5.44,
  "formation_energy_uncorrected_ev_per_atom": 0.71,
  "rho_g_cm3": 3.2
}

***

4.
{
  "formula": "NbBO4",
  "functional": "PBEsol",
  "state": "relaxed",
  "lattice": [[5.2140, 0.0099, 0.0000], [-2.3212, 4.6688, 0.0000], [-1.4464, -2.3394, 4.4295]],
  "species": ["O", "O", "O", "O", "O", "O", "O", "O", "B", "B", "Nb", "Nb"],
  "frac_coords": [[0.3251, 0.1474, 0.8223], [0.7528, 0.0751, 0.6777], [0.4972, 0.6749, 0.8223], [0.8526, 0.6749, 0.1777], [0.9249, 0.6026, 0.6777], [0.9249, 0.2472, 0.3223], [0.3251, 0.5028, 0.1777], [0.3974, 0.0751, 0.3223], [0.5000, 0.5000, 0.0000], [0.7500, 0.2500, 0.5000], [0.0000, 0.0000, 0.0000], [0.2500, 0.7500, 0.5000]],
  "magnetic_moment_mub_per_fu": 0.00,
  "formation_energy_uncorrected_ev_per_atom": -2.56,
  "rho_g_cm3": 5.2
}

***

5.
{
  "formula": "MgBeW2",
  "functional": "PBEsol",
  "state": "relaxed",
  "lattice": [[-1.3758, -0.7607, 4.0632], [-0.2129, -4.0853, 1.4989], [2.8158, -1.3563, 3.0353]],
  "species": ["Be", "W", "W", "Mg"],
  "frac_coords": [[0.5000, 0.5000, 0.5000], [0.7500, 0.7500, 0.7500], [0.0000, 0.0000, 0.0000], [0.2500, 0.2500, 0.2500]],
  "formation_enthalpy_0k_ev_per_fu": 1.93,
  "magnetic_moment_mub_per_fu": 0.00,
  "de_polymorph_ev_per_atom": 0.098,
  "rho_g_cm3": 11.4
}

***

6.
{
  "formula": "KYAu2",
  "functional": "PBEsol",
  "state": "relaxed",
  "lattice": [[-3.8734, -1.5632, 0.8419], [-0.6270, -0.6858, -4.1584], [2.3536, -5.5315, 0.5574]],
  "species": ["Au", "Au", "K", "Y"],
  "frac_coords": [[0.0000, 0.0000, 0.5000], [0.5000, 0.5000, 0.0000], [0.0000, 0.0000, 0.0000], [0.5000, 0.5000, 0.5000]],
  "formation_enthalpy_0k_ev_per_fu": -0.70,
  "magnetic_moment_mub_per_fu": 0.00,
  "de_polymorph_ev_per_atom": 0.355,
  "rho_g_cm3": 7.9
}

***

7.
{
  "formula": "SrMg2In",
  "functional": "PBEsol",
  "state": "relaxed",
  "lattice": [[4.7112, 0.0000, 0.0000], [0.0000, 4.7112, 0.0000], [0.0000, 0.0000, 5.0012]],
  "species": ["Mg", "Mg", "In", "Sr"],
  "frac_coords": [[0.0000, 0.5000, 0.0000], [0.5000, 0.0000, 0.0000], [0.0000, 0.0000, 0.5000], [0.5000, 0.5000, 0.5000]],
  "formation_enthalpy_0k_ev_per_fu": -0.56,
  "magnetic_moment_mub_per_fu": 0.00,
  "rho_g_cm3": 3.8
}

***

8.
{
  "formula": "Mn2NiRh",
  "functional": "PBEsol",
  "state": "relaxed",
  "lattice": [[-0.2809, -2.1478, -1.3261], [3.3115, 1.0956, -2.4760], [2.1328, -1.0434, 3.6704]],
  "species": ["Mn", "Mn", "Rh", "Ni"],
  "frac_coords": [[0.2497, 0.2389, 0.4993], [0.7503, 0.7611, 0.5007], [0.0000, 0.5000, 0.0000], [0.5000, 0.0000, 0.0000]],
  "formation_enthalpy_0k_ev_per_fu": 0.40,
  "magnetic_moment_mub_per_fu": 0.08,
  "rho_g_cm3": 10.1
}

***

Number 1: raw total energy -26.60 eV per cell. Number 2: raw total energy -22.75 eV per cell. Number 3: raw total energy -20.38 eV per cell. Number 4: raw total energy -108.41 eV per cell. Number 5: raw total energy -31.40 eV per cell. Number 6: raw total energy -16.51 eV per cell. Number 7: raw total energy -8.82 eV per cell. Number 8: raw total energy -33.42 eV per cell.